Model A:
Entry from Alexandria: a relaxed Dy6MgTl crystal (PBE).

Cell: 6.961 12.146 6.955 Å, 90.00 119.95 90.00°
Space group C2/m (No. 12)
One atom of each set of equivalent atoms:
Dy: 0.247 0.213 0.254
Dy: 0.249 0.000 0.747
Mg: 0.000 0.500 0.500
Tl: 0.000 0.000 0.000



Model B:
Entry from Alexandria: a relaxed Dy6MgTl crystal (PBE).

Cell: 5.015 5.015 18.727 Å, 90.00 90.00 90.00°
Space group I4/mmm (No. 139)
One atom of each set of equivalent atoms:
Dy: 0.000 0.000 0.248
Dy: 0.000 0.500 0.117
Mg: 0.000 0.000 0.000
Tl: 0.000 0.000 0.500



Sorted by energy, starting with the most stable: model B, model A.